# 1
{"formula": "LiTl2Se", "functional": "PBE", "state": "optimized geometry", "energy_ev_per_atom": -2.9956, "cell": [[2.1122, 1.2195, 7.1255], [-2.1122, 1.2195, 7.1255], [0.0000, -2.4390, 7.1255]], "species": ["Li", "Tl", "Tl", "Se"], "fractional_positions": [[0.0000, 0.0000, 0.0000], [0.5574, 0.5574, 0.5574], [0.7738, 0.7738, 0.7738], [0.3310, 0.3310, 0.3310]]}

***

# 2
{"formula": "Li2Tl2Se", "functional": "PBE", "state": "optimized geometry", "energy_ev_per_atom": -2.8493, "cell": [[6.8333, 0.0000, 0.0000], [0.0000, 6.8333, 0.0000], [0.0000, 0.0000, 5.1105]], "species": ["Li", "Li", "Li", "Li", "Tl", "Tl", "Tl", "Tl", "Se", "Se"], "fractional_positions": [[0.1674, 0.3326, 0.0000], [0.3326, 0.8326, 0.0000], [0.6674, 0.1674, 0.0000], [0.8326, 0.6674, 0.0000], [0.1663, 0.6663, 0.5000], [0.3337, 0.1663, 0.5000], [0.6663, 0.8337, 0.5000], [0.8337, 0.3337, 0.5000], [0.0000, 0.0000, 0.0000], [0.5000, 0.5000, 0.0000]]}